Computed, not measured: an optimized crystal structure of AlFe4B at the PBE level of DFT.

Calculated values
As for the volume: 11.759 Å³/atom. As for the total energy: -7.30 eV/atom. The value obtained for the energy above the most stable polymorph in this dataset is 0.042 eV/atom. Its total moment is 7.403 Bohr magnetons per cell.

The structure in CIF format:
```
data_AlFe4B
_symmetry_space_group_name_H-M 'P -1'
_symmetry_Int_Tables_number 2
_symmetry_space_group_name_Hall '-P 1'
_cell_length_a 2.837
_cell_length_b 3.927
_cell_length_c 6.355
_cell_angle_alpha 90.06
_cell_angle_beta 94.68
_cell_angle_gamma 90.02
loop_
_atom_site_label
_atom_site_fract_x
_atom_site_fract_y
_atom_site_fract_z
Al1 0.000 0.000 0.000
Fe1 0.007 0.500 0.731
Fe2 0.452 0.000 0.677
B1 0.500 0.500 0.500
```

Computed, not measured: an optimized crystal structure of AlFeB6 at the PBE level of DFT.

Calculated values
As for the volume: 8.365 Å³/atom. As for the total energy: -6.35 eV/atom. Its total moment is 0.000 Bohr magnetons per cell.

The structure in CIF format:
```
data_AlFeB6
_symmetry_space_group_name_H-M 'C m m m'
_symmetry_Int_Tables_number 65
_symmetry_space_group_name_Hall '-C 2 2'
_cell_length_a 3.514
_cell_length_b 5.997
_cell_length_c 6.351
_cell_angle_alpha 90.00
_cell_angle_beta 90.00
_cell_angle_gamma 90.00
loop_
_atom_site_label
_atom_site_fract_x
_atom_site_fract_y
_atom_site_fract_z
Al1 0.000 0.000 0.000
Fe1 0.000 0.000 0.500
B1 0.000 0.500 0.344
B2 0.250 0.250 0.280
```

Computed, not measured: an optimized crystal structure of AlFe3B at the PBE level of DFT.

Calculated values
As for the volume: 10.758 Å³/atom. As for the total energy: -7.32 eV/atom. The value obtained for the energy above the most stable polymorph in this dataset is 0.000 eV/atom. Its total moment is 9.423 Bohr magnetons per cell.

The structure in CIF format:
```
data_AlFe3B
_symmetry_space_group_name_H-M 'P 63/m m c'
_symmetry_Int_Tables_number 194
_symmetry_space_group_name_Hall '-P 6c 2c'
_cell_length_a 5.3199
_cell_length_b 5.3199
_cell_length_c 4.3890
_cell_angle_alpha 90.00
_cell_angle_beta 90.00
_cell_angle_gamma 120.00
loop_
_atom_site_label
_atom_site_fract_x
_atom_site_fract_y
_atom_site_fract_z
Al1 0.3333 0.6667 0.2500
Fe1 0.1805 0.3609 0.7500
B1 0.0000 0.0000 0.0000
```

Computed, not measured: an optimized crystal structure of AlFeB at the PBE level of DFT.

Calculated values
As for the volume: 9.767 Å³/atom. As for the total energy: -6.50 eV/atom. The value obtained for the energy above the most stable polymorph in this dataset is 0.070 eV/atom. Its total moment is 0.000 Bohr magnetons per cell.

The structure in CIF format:
```
data_AlFeB
_symmetry_space_group_name_H-M 'I 4 m m'
_symmetry_Int_Tables_number 107
_symmetry_space_group_name_Hall 'I 4 -2'
_cell_length_a 2.705
_cell_length_b 2.705
_cell_length_c 8.006
_cell_angle_alpha 90.00
_cell_angle_beta 90.00
_cell_angle_gamma 90.00
loop_
_atom_site_label
_atom_site_fract_x
_atom_site_fract_y
_atom_site_fract_z
Al1 0.000 0.000 0.000
Fe1 0.000 0.000 0.703
B1 0.000 0.000 0.307
```